[1]
Compound: Ac2LaHo
Source: Alexandria via LeMat-Bulk
Functional: PBE
Structure: relaxed

The structure in CIF format:
```
data_Ac2LaHo
_chemical_formula_sum 'Ac6 La3 Ho3'
_symmetry_space_group_name_H-M 'R 3 m'
_symmetry_Int_Tables_number 160
_symmetry_space_group_name_Hall 'R 3 -2"'
_cell_length_a 3.8372
_cell_length_b 3.8372
_cell_length_c 36.9457
_cell_angle_alpha 90.00
_cell_angle_beta 90.00
_cell_angle_gamma 120.00
loop_
_atom_site_label
_atom_site_type_symbol
_atom_site_fract_x
_atom_site_fract_y
_atom_site_fract_z
_atom_site_occupancy
Ac1 Ac 0.0000 0.0000 0.0000 1
Ac2 Ac 0.0000 0.0000 0.1716 1
La1 La 0.0000 0.0000 0.4178 1
Ho1 Ho 0.0000 0.0000 0.5861 1
```

Results
formation energy = 0.20 eV per formula unit
Fermi-level density of states = 6.384 states/eV/f.u.
size of the total moment = 0.0 μB per formula unit
polymorph energy (0 for the lowest one) = 0.0195 eV/atom

---

[2]
Compound: Ac5La2Ho2
Source: Alexandria via LeMat-Bulk
Functional: PBE
Structure: relaxed

The structure in CIF format:
```
data_Ac5La2Ho2
_chemical_formula_sum 'Ac5 La2 Ho2'
_symmetry_space_group_name_H-M 'P -1'
_symmetry_Int_Tables_number 2
_cell_length_a 3.8707
_cell_length_b 6.6589
_cell_length_c 14.6737
_cell_angle_alpha 86.30
_cell_angle_beta 82.49
_cell_angle_gamma 73.18
loop_
_symmetry_equiv_pos_as_xyz
'x,y,z'
'-x,-y,-z'
loop_
_atom_site_label
_atom_site_type_symbol
_atom_site_fract_x
_atom_site_fract_y
_atom_site_fract_z
_atom_site_occupancy
Ac1 Ac 0.0000 0.0000 0.0000 1
Ac2 Ac 0.1060 0.2231 0.5621 1
Ac3 Ac 0.2137 0.4543 0.1171 1
La1 La 0.3271 0.6786 0.6660 1
Ho1 Ho 0.4406 0.8969 0.2228 1
```

Results
formation energy = 0.37 eV per formula unit
Fermi-level density of states = 14.151 states/eV/f.u.
size of the total moment = 0.0 μB per formula unit

---

[3]
Compound: AcLaHo3
Source: Alexandria via LeMat-Bulk
Functional: PBE
Structure: relaxed

The structure in CIF format:
```
data_AcLaHo3
_chemical_formula_sum 'Ac4 La4 Ho12'
_symmetry_space_group_name_H-M 'P 1 21/c 1'
_symmetry_Int_Tables_number 14
_cell_length_a 9.4899
_cell_length_b 6.4628
_cell_length_c 12.5604
_cell_angle_alpha 90.00
_cell_angle_beta 114.00
_cell_angle_gamma 90.00
loop_
_symmetry_equiv_pos_as_xyz
'x,y,z'
'-x,-y,-z'
'-x,y+1/2,-z+1/2'
'x,-y+1/2,z+1/2'
loop_
_atom_site_label
_atom_site_type_symbol
_atom_site_fract_x
_atom_site_fract_y
_atom_site_fract_z
_atom_site_occupancy
Ac1 Ac 0.1551 0.1710 0.1031 1
La1 La 0.2614 0.6658 0.0019 1
Ho1 Ho 0.0511 0.6645 0.2039 1
Ho2 Ho 0.3527 0.1609 0.9002 1
Ho3 Ho 0.4474 0.6743 0.7998 1
```

Results
formation energy = 0.26 eV per formula unit
Fermi-level density of states = 8.617 states/eV/f.u.
size of the total moment = 0.0 μB per formula unit

---

[4]
Compound: AcLa2Ho2
Source: Alexandria via LeMat-Bulk
Functional: PBE
Structure: relaxed

The structure in CIF format:
```
data_AcLa2Ho2
_chemical_formula_sum 'Ac2 La4 Ho4'
_symmetry_space_group_name_H-M 'I 4/m m m'
_symmetry_Int_Tables_number 139
_symmetry_space_group_name_Hall '-I 4 2'
_cell_length_a 4.7726
_cell_length_b 4.7726
_cell_length_c 16.4300
_cell_angle_alpha 90.00
_cell_angle_beta 90.00
_cell_angle_gamma 90.00
loop_
_atom_site_label
_atom_site_type_symbol
_atom_site_fract_x
_atom_site_fract_y
_atom_site_fract_z
_atom_site_occupancy
Ac1 Ac 0.0000 0.0000 0.0000 1
La1 La 0.0000 0.0000 0.4049 1
Ho1 Ho 0.0000 0.5000 0.2500 1
```

Results
formation energy = 1.49 eV per formula unit
Fermi-level density of states = 8.518 states/eV/f.u.
size of the total moment = 0.0 μB per formula unit
polymorph energy (0 for the lowest one) = 0.1734 eV/atom